DFT (PBE-GGA) results for a relaxed MgCoI3 crystal.

It has space group Pm-3m (No. 221), with a = 5.3443 Å, b = 5.3443 Å, c = 5.3443 Å, α = 90.00°, β = 90.00° and γ = 90.00°. The inequivalent atoms are Mg at (0.0000, 0.0000, 0.0000), Co at (0.5000, 0.5000, 0.5000) and I at (0.0000, 0.5000, 0.5000).

As for the crystal system: cubic. The energy above the most stable polymorph in this dataset is 0 meV/atom. The value obtained for the spin magnetization is 1.6 μB per formula unit.